# CaAcSmGd, relaxed, DFT PBE
# Mass density: 6.329 Mg/m³
# Formation enthalpy at 0 K: 0.11 eV/atom
data_CaAcSmGd
_chemical_formula_sum 'Ca4 Ac4 Sm4 Gd4'
_cell_length_a 8.449
_cell_length_b 8.449
_cell_length_c 8.449
_cell_angle_alpha 90.00
_cell_angle_beta 90.00
_cell_angle_gamma 90.00
_symmetry_space_group_name_H-M 'F -4 3 m'
_symmetry_Int_Tables_number 216
_symmetry_space_group_name_Hall 'F -4 2 3'
loop_
_atom_site_label
_atom_site_type_symbol
_atom_site_fract_x
_atom_site_fract_y
_atom_site_fract_z
Ca1 Ca 0.000 0.000 0.000
Ac1 Ac 0.250 0.250 0.750
Sm1 Sm 0.250 0.250 0.250
Gd1 Gd 0.000 0.000 0.500